Record 1
Here is an optimized crystal structure of Tm2MgPb3 from the Alexandria database. Energies are from GGA-PBE.

Spin magnetization   0.000 μB/atom
Offset from the most stable computed form   248 meV per atom
E_form   -0.086 eV/atom

Cell and atoms, written as CIF:
```
data_Tm2MgPb3
_chemical_formula_sum 'Tm8 Mg4 Pb12'
_symmetry_space_group_name_H-M 'C m c m'
_symmetry_Int_Tables_number 63
_symmetry_space_group_name_Hall '-C 2c 2'
_cell_length_a 14.0034
_cell_length_b 9.9627
_cell_length_c 5.3384
_cell_angle_alpha 90.00
_cell_angle_beta 90.00
_cell_angle_gamma 90.00
loop_
_atom_site_label
_atom_site_type_symbol
_atom_site_fract_x
_atom_site_fract_y
_atom_site_fract_z
Tm1 Tm 0.1182 0.1099 0.2500
Mg1 Mg 0.0000 0.2018 0.7500
Pb1 Pb 0.0000 0.3996 0.2500
Pb2 Pb 0.2436 0.3652 0.2500
```

---

Record 2
Here is an optimized crystal structure of NiOs2Br from the Alexandria database. Energies are from GGA-PBE.

Spin magnetization   0.005 μB/atom
Offset from the most stable computed form   95 meV per atom
Uncorrected formation energy   0.723 eV per atom

Cell and atoms, written as CIF:
```
data_NiOs2Br
_chemical_formula_sum 'Ni1 Os2 Br1'
_symmetry_space_group_name_H-M 'P 4 m m'
_symmetry_Int_Tables_number 99
_cell_length_a 2.8797
_cell_length_b 2.8797
_cell_length_c 7.4380
_cell_angle_alpha 90.00
_cell_angle_beta 90.00
_cell_angle_gamma 90.00
loop_
_symmetry_equiv_pos_as_xyz
'x,y,z'
'-y,x,z'
'-x,-y,z'
'y,-x,z'
'-x,y,z'
'y,x,z'
'x,-y,z'
'-y,-x,z'
loop_
_atom_site_label
_atom_site_type_symbol
_atom_site_fract_x
_atom_site_fract_y
_atom_site_fract_z
Ni1 Ni 0.0000 0.0000 0.0000
Os1 Os 0.0000 0.0000 0.4548
Os2 Os 0.5000 0.5000 0.2368
Br1 Br 0.5000 0.5000 0.7342
```

---

Record 3
Here is an optimized crystal structure of Nd12Au3N5 from the Alexandria database. Energies are from GGA-PBE.

Spin magnetization   0.000 μB/atom
Uncorrected formation energy   -0.802 eV per atom

Cell and atoms, written as CIF:
```
data_Nd12Au3N5
_chemical_formula_sum 'Nd96 Au24 N40'
_symmetry_space_group_name_H-M 'I a -3 d'
_symmetry_Int_Tables_number 230
_symmetry_space_group_name_Hall '-I 4bd 2c 3'
_cell_length_a 16.0207
_cell_length_b 16.0207
_cell_length_c 16.0207
_cell_angle_alpha 90.00
_cell_angle_beta 90.00
_cell_angle_gamma 90.00
loop_
_atom_site_label
_atom_site_type_symbol
_atom_site_fract_x
_atom_site_fract_y
_atom_site_fract_z
Nd1 Nd 0.0349 0.0523 0.6488
Au1 Au 0.0000 0.2500 0.1250
N1 N 0.0000 0.0000 0.0000
N2 N 0.0000 0.2500 0.3750
```